# 1
FeBOsW: relaxed, GGA-PBE.

Cell: 5.8857 5.8857 5.8857 Å, 90.00 90.00 90.00°
Space group F-43m (No. 216)
One atom of each set of equivalent atoms:
Fe 0.0000 0.0000 0.0000 x4
B 0.2500 0.2500 0.7500 x4
Os 0.2500 0.2500 0.2500 x4
W 0.0000 0.0000 0.5000 x4


# 2
CuN: relaxed, GGA-PBE.

Cell: 2.9592 2.9592 4.7931 Å, 90.00 90.00 90.00°
Space group P4_2/mmc (No. 131)
One atom of each set of equivalent atoms:
Cu 0.0000 0.5000 0.0000 x2
N 0.0000 0.0000 0.2500 x2


# 3
SmYFe8B2: relaxed, GGA-PBE.

Cell: 5.0888 5.0888 7.0294 Å, 90.00 90.00 120.00°
Space group P6/mmm (No. 191)
One atom of each set of equivalent atoms:
Sm 0.0000 0.0000 0.0000 x1
Y 0.0000 0.0000 0.5000 x1
Fe 0.0000 0.5000 0.2148 x6
Fe 0.3333 0.6667 0.5000 x2
B 0.3333 0.6667 0.0000 x2


Ordered energy relative to the lowest polymorph listed for this composition results: 153 0 6; unit meV/atom.